# BaHfAsSe2 GGA-PBE relaxed
data_BaHfAsSe2
_chemical_formula_sum 'Ba1 Hf1 As1 Se2'
_cell_length_a 5.250
_cell_length_b 5.250
_cell_length_c 5.232
_cell_angle_alpha 90.00
_cell_angle_beta 90.00
_cell_angle_gamma 90.00
_symmetry_space_group_name_H-M 'P 4/m m m'
_symmetry_Int_Tables_number 123
_symmetry_space_group_name_Hall '-P 4 2'
loop_
_atom_site_label
_atom_site_fract_x
_atom_site_fract_y
_atom_site_fract_z
Ba1 0.000 0.000 0.000
Hf1 0.500 0.500 0.500
As1 0.500 0.500 0.000
Se1 0.000 0.500 0.500
# Magnetic moment in μB per formula unit: 0.000
# Volume in Å³/cell: 144.2
# Formation energy without anion corrections in meV/atom: -1219
# ΔE to the lowest computed polymorph in meV/atom: 0